Material: Ac4HgSe2S
Method: DFT, PBE
State: optimized geometry

Results
- size of the total moment (μB per cell) = 0.00
- DFT total energy (eV/atom) = -4.98
- formation energy (no corrections) (eV per atom) = -1.504
- DOS(E_F) (states/eV/cell) = 3.076

abc: 7.8410 4.4279 7.9087
angles: 90.00 108.95 90.00
Space group P2/m (No. 10)
One atom of each set of equivalent atoms:
Ac: 0.2398 0.0000 0.2437
Ac: 0.2439 0.5000 0.7495
Hg: 0.5000 0.0000 0.0000
Se: 0.0000 0.0000 0.5000
Se: 0.5000 0.5000 0.5000
S: 0.0000 0.5000 0.0000